A relaxed structure of Pr2ThPd. Source: the Alexandria database, functional GGA-PBE. Values from VASP.

```
&SYSTEM
  ibrav = 0, nat = 4, ntyp = 3
/
ATOMIC_SPECIES
Pr 140.91 Pr.upf
Th 232.04 Th.upf
Pd 106.42 Pd.upf
ATOMIC_POSITIONS crystal
Pr 0.104 0.104 0.104
Pr 0.896 0.896 0.896
Th 0.000 0.000 0.000
Pd 0.500 0.500 0.500
CELL_PARAMETERS angstrom
1.809 1.044 11.092
-1.809 1.044 11.092
0.000 -2.089 11.092
```

Values from the calculation:
* relative energy among the computed polymorphs: 317.9 meV per atom
* calculated volume: 31.437 Å³ per atom
* E_form: 0.010 eV/atom